A plane-wave DFT calculation with PBE was carried out for an optimized crystal structure of Na3Al2Au4.

Computed properties:
As for the energy of formation: -31.7 kJ/mol of atoms. For the total magnetic moment, the calculation gives 0.0 μB/cell. As for the calculated volume: 188.93 Å³/f.u. The calculation puts the total DFT energy (no corrections) at -3.057 eV/atom.

abc: 8.244 8.244 6.084
angles: 95.92 95.92 67.06
Fractional positions:
Na: 0.047 0.953 0.750
Na: 0.307 0.506 0.585
Na: 0.494 0.693 0.915
Na: 0.506 0.307 0.085
Na: 0.693 0.494 0.415
Na: 0.953 0.047 0.250
Al: 0.069 0.385 0.169
Al: 0.385 0.069 0.669
Al: 0.615 0.931 0.331
Al: 0.931 0.615 0.831
Au: 0.082 0.306 0.573
Au: 0.181 0.640 0.107
Au: 0.306 0.082 0.073
Au: 0.360 0.819 0.393
Au: 0.640 0.181 0.607
Au: 0.694 0.918 0.927
Au: 0.819 0.360 0.893
Au: 0.918 0.694 0.427



A plane-wave DFT calculation with PBE was carried out for an optimized crystal structure of AcMgAlGa2.

Computed properties:
As for the energy of formation: -43.8 kJ/mol of atoms. For the total magnetic moment, the calculation gives 0.0 μB/cell. As for the calculated volume: 114.48 Å³/f.u. The calculation puts the total DFT energy (no corrections) at -3.553 eV/atom.

abc: 4.464 4.464 11.490
angles: 90.00 90.00 90.00
Fractional positions:
Ac: 0.000 0.000 0.000
Ac: 0.500 0.500 0.500
Mg: 0.000 0.500 0.750
Mg: 0.500 0.000 0.250
Al: 0.000 0.500 0.250
Al: 0.500 0.000 0.750
Ga: 0.000 0.000 0.387
Ga: 0.000 0.000 0.613
Ga: 0.500 0.500 0.113
Ga: 0.500 0.500 0.887



A plane-wave DFT calculation with PBE was carried out for an optimized crystal structure of K2TaSe.

Computed properties:
For the total magnetic moment, the calculation gives 2.0 μB/cell. As for the calculated volume: 140.17 Å³/f.u. The calculation puts the total DFT energy (no corrections) at -4.113 eV/atom. As for the uncorrected formation energy: 0.270 eV per atom.

abc: 3.321 4.120 20.489
angles: 90.00 90.00 90.00
Fractional positions:
K: 0.000 0.000 0.149
K: 0.000 0.000 0.851
K: 0.500 0.500 0.351
K: 0.500 0.500 0.649
Ta: 0.000 0.500 0.000
Ta: 0.500 0.000 0.500
Se: 0.000 0.500 0.500
Se: 0.500 0.000 0.000



A plane-wave DFT calculation with PBE was carried out for an optimized crystal structure of Pa2MnS6.

Computed properties:
For the total magnetic moment, the calculation gives 10.0 μB/cell. As for the calculated volume: 225.36 Å³/f.u. The calculation puts the total DFT energy (no corrections) at -7.142 eV/atom. As for the uncorrected formation energy: -1.261 eV per atom.

abc: 6.214 6.214 11.671
angles: 90.00 90.00 90.00
Fractional positions:
Pa: 0.000 0.000 0.172
Pa: 0.000 0.000 0.828
Pa: 0.500 0.500 0.328
Pa: 0.500 0.500 0.672
Mn: 0.000 0.000 0.500
Mn: 0.500 0.500 0.000
S: 0.194 0.194 0.000
S: 0.196 0.196 0.343
S: 0.196 0.196 0.657
S: 0.304 0.696 0.157
S: 0.304 0.696 0.843
S: 0.306 0.694 0.500
S: 0.694 0.306 0.500
S: 0.696 0.304 0.157
S: 0.696 0.304 0.843
S: 0.804 0.804 0.343
S: 0.804 0.804 0.657
S: 0.806 0.806 0.000



The lowest total DFT energy (no corrections) belongs to which entry? Pa2MnS6